Pr3Ge4Au2: optimized geometry, PBE-GGA.

Values from the calculation:
Crystal system   monoclinic
DOS at the Fermi energy   4.88 states/eV/f.u.
ΔE_f   -0.78 eV per atom
Total DFT energy (no corrections)   -46.42 eV/cell

a = 4.455 Å, b = 6.062 Å, c = 8.610 Å
α = 101.44°, β = 90.00°, γ = 111.56°
Atoms (fractional coordinates):
1 Ge 0.946 0.892 0.613
2 Ge 0.283 0.565 0.952
3 Ge 0.717 0.435 0.048
4 Ge 0.054 0.108 0.387
5 Au 0.616 0.233 0.284
6 Au 0.384 0.767 0.716
7 Pr 0.663 0.325 0.671
8 Pr 0.337 0.675 0.329
9 Pr 0.000 0.000 0.000